[1]
The following is a DFT calculation (GGA-PBE) of a relaxed structure of Cu3P.

a b c (Å): 6.9852 6.9852 7.1849
angles (deg): 90.00 90.00 120.00
Space group P6_3cm (No. 185)
One atom of each set of equivalent atoms:
Cu  0.0000  0.0000  0.2492
Cu  0.0000  0.2720  0.0000
Cu  0.0000  0.3846  0.3490
Cu  0.3333  0.6667  0.1111
P  0.0000  0.3308  0.6732

Total magnetization (Bohr magnetons per cell): 0.00
Electronic total energy (eV per atom): -4.45
DOS at the Fermi energy (states/eV per cell): 3.5
ρ (g cm⁻³): 7.273

=====

[2]
The following is a DFT calculation (GGA-PBE) of a relaxed structure of Mn2ReCl.

a b c (Å): 2.759 4.268 8.346
angles (deg): 90.00 90.00 90.00
Space group Immm (No. 71)
One atom of each set of equivalent atoms:
Mn  0.000  0.000  0.227
Re  0.000  0.500  0.000
Cl  0.000  0.500  0.500

Energy relative to the elements, uncorrected (eV per atom): 0.759
Total magnetization (Bohr magnetons per cell): 0.00
ΔE to the lowest computed polymorph (eV per atom): 0.659
DOS at the Fermi energy (states/eV per cell): 8.2
ρ (g cm⁻³): 11.205

=====

[3]
The following is a DFT calculation (GGA-PBE) of a relaxed structure of SrMgRu2.

a b c (Å): 6.718 6.718 6.718
angles (deg): 90.00 90.00 90.00
Space group F-43m (No. 216)
One atom of each set of equivalent atoms:
Sr  0.000  0.000  0.000
Mg  0.250  0.250  0.750
Ru  0.000  0.000  0.500
Ru  0.250  0.250  0.250

Total magnetization (Bohr magnetons per cell): 0.00
Electronic total energy (eV per atom): -4.87
DOS at the Fermi energy (states/eV per cell): 18.4
ρ (g cm⁻³): 6.881

=====

[4]
The following is a DFT calculation (GGA-PBE) of a relaxed structure of Th3Si2Tc3.

a b c (Å): 4.211 10.721 14.701
angles (deg): 90.00 90.00 90.00
Space group Cmcm (No. 63)
One atom of each set of equivalent atoms:
Th  0.000  0.090  0.113
Th  0.000  0.372  0.250
Si  0.000  0.197  0.601
Tc  0.000  0.328  0.750
Tc  0.000  0.357  0.024

Energy relative to the elements, uncorrected (eV per atom): -0.466
Total magnetization (Bohr magnetons per cell): 0.00
ΔE to the lowest computed polymorph (eV per atom): 0.042
DOS at the Fermi energy (states/eV per cell): 32.9
ρ (g cm⁻³): 10.471